# Ba5Sr3

Crystalline Ba5Sr3 at its relaxed geometry (PBEsol, Alexandria).

Geometry as POSCAR:
```
Ba5Sr3
1.0
-3.383 -3.879 5.771
-0.444 -9.622 -6.728
9.363 1.975 6.817
Ba Sr
10 6
Direct
0.000 0.667 0.333
0.500 0.333 0.667
0.000 0.333 0.667
0.500 0.667 0.333
0.750 0.764 0.764
0.250 0.236 0.236
0.750 0.000 0.236
0.750 0.236 0.000
0.250 0.764 0.000
0.250 0.000 0.764
0.750 0.412 0.412
0.250 0.588 0.588
0.750 0.000 0.588
0.750 0.588 0.000
0.250 0.412 0.000
0.250 0.000 0.412
```

Values from the calculation:
The polymorph energy (0 for the lowest one) is 7.93 kJ per mole of atoms.

***

# Ba3Sr

Crystalline Ba3Sr at its relaxed geometry (PBEsol, Alexandria).

Geometry as POSCAR:
```
Ba3Sr
1.0
-3.471 -1.726 1.850
3.879 -1.707 0.700
1.726 8.508 11.178
Sr Ba
1 3
Direct
0.333 0.667 0.500
0.000 0.000 0.252
0.000 0.000 0.748
0.333 0.667 0.000
```

Values from the calculation:
The polymorph energy (0 for the lowest one) is 1.38 kJ per mole of atoms.

***

# BaSr3

Crystalline BaSr3 at its relaxed geometry (PBEsol, Alexandria).

Geometry as POSCAR:
```
BaSr3
1.0
4.223 0.000 0.000
0.000 7.337 0.002
0.000 -2.438 6.921
Sr Ba
3 1
Direct
0.500 0.000 0.500
0.500 0.500 0.000
0.000 0.500 0.500
0.000 0.000 0.000
```

Values from the calculation:
The polymorph energy (0 for the lowest one) is 0.97 kJ per mole of atoms.

***

# Ba2Sr

Crystalline Ba2Sr at its relaxed geometry (PBEsol, Alexandria).

Geometry as POSCAR:
```
Ba2Sr
1.0
6.168 0.000 0.000
0.000 8.585 0.000
0.000 0.000 12.878
Ba Sr
8 4
Direct
0.750 0.376 0.750
0.250 0.124 0.250
0.750 0.876 0.750
0.250 0.624 0.250
0.750 0.373 0.084
0.250 0.127 0.584
0.750 0.873 0.416
0.250 0.627 0.916
0.750 0.875 0.082
0.250 0.625 0.582
0.750 0.375 0.418
0.250 0.125 0.918
```

Values from the calculation:
The polymorph energy (0 for the lowest one) is 1.70 kJ per mole of atoms.

***

# Ba4Sr5

Crystalline Ba4Sr5 at its relaxed geometry (PBEsol, Alexandria).

Geometry as POSCAR:
```
Ba4Sr5
1.0
8.075 0.000 0.000
0.000 11.850 0.000
0.000 -5.925 10.263
Ba Sr
8 10
Direct
0.000 0.000 0.000
0.500 0.000 0.000
0.750 0.000 0.328
0.750 0.328 0.000
0.750 0.672 0.672
0.250 0.000 0.672
0.250 0.672 0.000
0.250 0.328 0.328
0.750 0.000 0.659
0.750 0.659 0.000
0.750 0.341 0.341
0.250 0.000 0.341
0.250 0.341 0.000
0.250 0.659 0.659
0.000 0.333 0.667
0.500 0.667 0.333
0.000 0.667 0.333
0.500 0.333 0.667
```

Values from the calculation:
The total energy is -1.93 eV per atom.

***

# Ba3Sr

Crystalline Ba3Sr at its relaxed geometry (PBEsol, Alexandria).

Geometry as POSCAR:
```
Ba3Sr
1.0
6.841 0.000 0.000
3.420 5.924 0.000
3.420 1.975 5.586
Sr Ba
1 3
Direct
0.000 0.000 0.000
0.250 0.250 0.250
0.500 0.500 0.500
0.750 0.750 0.750
```

Values from the calculation:
The polymorph energy (0 for the lowest one) is 0.58 kJ per mole of atoms.

***

# Ba3Sr

Crystalline Ba3Sr at its relaxed geometry (PBEsol, Alexandria).

Geometry as POSCAR:
```
Ba3Sr
1.0
6.852 0.000 0.000
0.000 8.367 0.005
0.000 -2.824 7.876
Ba Sr
6 2
Direct
0.750 0.124 0.876
0.250 0.876 0.124
0.750 0.623 0.875
0.250 0.377 0.125
0.250 0.875 0.623
0.750 0.125 0.377
0.750 0.624 0.376
0.250 0.376 0.624
```

Values from the calculation:
The polymorph energy (0 for the lowest one) is 0.09 kJ per mole of atoms.

***

# BaSr3

Crystalline BaSr3 at its relaxed geometry (PBEsol, Alexandria).

Geometry as POSCAR:
```
BaSr3
1.0
-1.183 -2.558 -3.186
5.445 -2.355 -0.132
-2.416 -5.901 5.635
Sr Ba
3 1
Direct
0.500 0.500 0.745
0.000 0.000 0.500
0.500 0.500 0.255
0.000 0.000 0.000
```

Values from the calculation:
The polymorph energy (0 for the lowest one) is 0.62 kJ per mole of atoms.

***

# BaSr3

Crystalline BaSr3 at its relaxed geometry (PBEsol, Alexandria).

Geometry as POSCAR:
```
BaSr3
1.0
-4.619 0.926 -4.737
-2.257 -5.205 -3.528
-6.233 -2.217 0.933
Sr Ba
3 1
Direct
0.250 0.250 0.250
0.500 0.500 0.500
0.750 0.750 0.750
0.000 0.000 0.000
```

Values from the calculation:
The polymorph energy (0 for the lowest one) is 0.54 kJ per mole of atoms.

***

# BaSrTa2

Crystalline BaSrTa2 at its relaxed geometry (PBEsol, Alexandria).

Geometry as POSCAR:
```
BaSrTa2
1.0
3.282 0.000 0.000
-1.641 4.502 0.023
0.000 -0.475 8.813
Ba Sr Ta
1 1 2
Direct
0.505 0.010 0.572
0.740 0.479 0.170
0.993 0.987 0.915
0.262 0.524 0.844
```

Values from the calculation:
The polymorph energy (0 for the lowest one) is 0.00 kJ per mole of atoms.

***

# BaSr2Ta

Crystalline BaSr2Ta at its relaxed geometry (PBEsol, Alexandria).

Geometry as POSCAR:
```
BaSr2Ta
1.0
3.516 0.000 0.000
0.000 3.516 0.000
0.000 0.000 11.675
Ba Sr Ta
1 2 1
Direct
0.500 0.500 0.500
0.000 0.000 0.805
0.000 0.000 0.195
0.500 0.500 0.000
```

Values from the calculation:
The polymorph energy (0 for the lowest one) is 0.00 kJ per mole of atoms.

***

# BaSrTa2

Crystalline BaSrTa2 at its relaxed geometry (PBEsol, Alexandria).

Geometry as POSCAR:
```
BaSrTa2
1.0
3.062 0.000 -0.176
0.000 5.772 0.000
-1.364 0.000 6.700
Ba Sr Ta
1 1 2
Direct
0.500 0.500 0.000
0.500 0.500 0.500
0.888 0.000 0.666
0.112 0.000 0.334
```

Values from the calculation:
The polymorph energy (0 for the lowest one) is 33.43 kJ per mole of atoms.

***

Quick rundown of M_tot, same order as above: 0.00; 0.00; 0.00; 0.00; 0.00; 0.00; 0.00; 0.00; 0.00; 0.00; 0.01; 0.00 Bohr magnetons per cell